Entry 1:
Here is a relaxed structure of YCdInRh from the Alexandria database. Energies are from PBE.

The structure in CIF format:
```
data_YCdInRh
_chemical_formula_sum 'Y1 Cd1 In1 Rh1'
_cell_length_a 4.9022
_cell_length_b 4.9022
_cell_length_c 4.9022
_cell_angle_alpha 60.00
_cell_angle_beta 60.00
_cell_angle_gamma 60.00
_space_group_name_H-M_alt 'P 1'
_space_group_IT_number 1
loop_
_space_group_symop_operation_xyz
'x,y,z'
loop_
_atom_site_label
_atom_site_fract_x
_atom_site_fract_y
_atom_site_fract_z
Y1 0.0000 0.0000 0.0000
Cd1 0.2500 0.2500 0.2500
In1 0.5000 0.5000 0.5000
Rh1 0.7500 0.7500 0.7500
```

**Electronic total energy**: -4.774 eV per atom
**Calculated density**: 8353 kg/m³
**Density of states at the Fermi level**: 3.00 states/eV/cell



Entry 2:
Here is a relaxed structure of MnTe2S6 from the Alexandria database. Energies are from PBE.

The structure in CIF format:
```
data_MnTe2S6
_chemical_formula_sum 'Mn1 Te2 S6'
_cell_length_a 6.8992
_cell_length_b 6.8992
_cell_length_c 11.3450
_cell_angle_alpha 119.15
_cell_angle_beta 119.15
_cell_angle_gamma 30.64
_space_group_name_H-M_alt 'P 1'
_space_group_IT_number 1
loop_
_space_group_symop_operation_xyz
'x,y,z'
loop_
_atom_site_label
_atom_site_fract_x
_atom_site_fract_y
_atom_site_fract_z
Mn1 0.0000 0.0000 0.0000
Te1 0.3445 0.3445 0.6804
Te2 0.6555 0.6555 0.3196
S1 0.0150 0.0150 0.8060
S2 0.3165 0.3165 0.4015
S3 0.3626 0.3626 0.9131
S4 0.6374 0.6374 0.0869
S5 0.6835 0.6835 0.5985
S6 0.9850 0.9850 0.1940
```

**Electronic total energy**: -4.571 eV per atom
**Calculated density**: 3513 kg/m³
**Density of states at the Fermi level**: 0.56 states/eV/cell
**Raw formation energy**: -0.10 eV per atom



Entry 3:
Here is a relaxed structure of TiTlTeI2 from the Alexandria database. Energies are from PBE.

The structure in CIF format:
```
data_TiTlTeI2
_chemical_formula_sum 'Ti1 Tl1 Te1 I2'
_cell_length_a 5.7752
_cell_length_b 5.7752
_cell_length_c 5.3714
_cell_angle_alpha 90.00
_cell_angle_beta 90.00
_cell_angle_gamma 90.00
_space_group_name_H-M_alt 'P 1'
_space_group_IT_number 1
loop_
_space_group_symop_operation_xyz
'x,y,z'
loop_
_atom_site_label
_atom_site_fract_x
_atom_site_fract_y
_atom_site_fract_z
Ti1 0.0000 0.0000 0.0000
Tl1 0.5000 0.5000 0.5000
Te1 0.0000 0.0000 0.5000
I1 0.0000 0.5000 0.0000
I2 0.5000 0.0000 0.0000
```

**Excess energy over the best structure of this formula in the dataset**: 0.00 eV per formula unit
**Electronic total energy**: -3.752 eV per atom
**Calculated density**: 5873 kg/m³
**Density of states at the Fermi level**: 3.12 states/eV/cell
**Raw formation energy**: -0.45 eV per atom



Entry 4:
Here is a relaxed structure of RbAlGe from the Alexandria database. Energies are from PBE.

The structure in CIF format:
```
data_RbAlGe
_chemical_formula_sum 'Rb2 Al2 Ge2'
_cell_length_a 7.0913
_cell_length_b 5.9929
_cell_length_c 7.1130
_cell_angle_alpha 64.86
_cell_angle_beta 49.91
_cell_angle_gamma 65.23
_space_group_name_H-M_alt 'P 1'
_space_group_IT_number 1
loop_
_space_group_symop_operation_xyz
'x,y,z'
loop_
_atom_site_label
_atom_site_fract_x
_atom_site_fract_y
_atom_site_fract_z
Rb1 0.1928 0.8072 0.1928
Rb2 0.8072 0.1928 0.8072
Al1 0.4959 0.7989 0.5041
Al2 0.7989 0.4959 0.2011
Ge1 0.2046 0.4989 0.7954
Ge2 0.4989 0.2046 0.5011
```

**Electronic total energy**: -3.090 eV per atom
**Calculated density**: 3003 kg/m³
**Density of states at the Fermi level**: 1.51 states/eV/cell



Entry 5:
Here is a relaxed structure of TbZnRu from the Alexandria database. Energies are from PBE.

The structure in CIF format:
```
data_TbZnRu
_chemical_formula_sum 'Tb2 Zn2 Ru2'
_cell_length_a 5.7108
_cell_length_b 5.7108
_cell_length_c 5.7108
_cell_angle_alpha 129.15
_cell_angle_beta 91.90
_cell_angle_gamma 109.60
_space_group_name_H-M_alt 'P 1'
_space_group_IT_number 1
loop_
_space_group_symop_operation_xyz
'x,y,z'
loop_
_atom_site_label
_atom_site_fract_x
_atom_site_fract_y
_atom_site_fract_z
Tb1 0.0000 0.0000 0.0000
Tb2 0.5000 0.0000 0.5000
Zn1 0.3600 0.6100 0.7500
Zn2 0.6400 0.3900 0.2500
Ru1 0.0000 0.0000 0.5000
Ru2 0.0000 0.5000 0.0000
```

**Electronic total energy**: -5.216 eV per atom
**Calculated density**: 8431 kg/m³
**Density of states at the Fermi level**: 3.91 states/eV/cell



Entry 6:
Here is a relaxed structure of Ta3CrAs from the Alexandria database. Energies are from PBE.

The structure in CIF format:
```
data_Ta3CrAs
_chemical_formula_sum 'Ta3 Cr1 As1'
_cell_length_a 4.6241
_cell_length_b 4.6241
_cell_length_c 4.6241
_cell_angle_alpha 90.00
_cell_angle_beta 90.00
_cell_angle_gamma 90.00
_space_group_name_H-M_alt 'P 1'
_space_group_IT_number 1
loop_
_space_group_symop_operation_xyz
'x,y,z'
loop_
_atom_site_label
_atom_site_fract_x
_atom_site_fract_y
_atom_site_fract_z
Ta1 0.0000 0.0000 0.5000
Ta2 0.0000 0.5000 0.0000
Ta3 0.5000 0.0000 0.0000
Cr1 0.0000 0.0000 0.0000
As1 0.5000 0.5000 0.5000
```

**Excess energy over the best structure of this formula in the dataset**: 0.00 eV per formula unit
**Electronic total energy**: -9.015 eV per atom
**Calculated density**: 11249 kg/m³
**Density of states at the Fermi level**: 3.54 states/eV/cell



Entry 7:
Here is a relaxed structure of BeReSeBr2 from the Alexandria database. Energies are from PBE.

The structure in CIF format:
```
data_BeReSeBr2
_chemical_formula_sum 'Be1 Re1 Se1 Br2'
_cell_length_a 5.2321
_cell_length_b 5.2321
_cell_length_c 4.7427
_cell_angle_alpha 90.00
_cell_angle_beta 90.00
_cell_angle_gamma 90.00
_space_group_name_H-M_alt 'P 1'
_space_group_IT_number 1
loop_
_space_group_symop_operation_xyz
'x,y,z'
loop_
_atom_site_label
_atom_site_fract_x
_atom_site_fract_y
_atom_site_fract_z
Be1 0.0000 0.0000 0.0000
Re1 0.5000 0.5000 0.5000
Se1 0.5000 0.5000 0.0000
Br1 0.0000 0.5000 0.5000
Br2 0.5000 0.0000 0.5000
```

**Excess energy over the best structure of this formula in the dataset**: 0.00 eV per formula unit
**Electronic total energy**: -3.736 eV per atom
**Calculated density**: 5551 kg/m³
**Density of states at the Fermi level**: 3.71 states/eV/cell
**Raw formation energy**: 0.87 eV per atom



Entry 8:
Here is a relaxed structure of HoZrHgC from the Alexandria database. Energies are from PBE.

The structure in CIF format:
```
data_HoZrHgC
_chemical_formula_sum 'Ho1 Zr1 Hg1 C1'
_cell_length_a 7.9503
_cell_length_b 7.9503
_cell_length_c 7.9503
_cell_angle_alpha 25.01
_cell_angle_beta 25.01
_cell_angle_gamma 25.01
_space_group_name_H-M_alt 'P 1'
_space_group_IT_number 1
loop_
_space_group_symop_operation_xyz
'x,y,z'
loop_
_atom_site_label
_atom_site_fract_x
_atom_site_fract_y
_atom_site_fract_z
Ho1 0.0000 0.0000 0.0000
Zr1 0.2196 0.2196 0.2196
Hg1 0.7800 0.7800 0.7800
C1 0.6023 0.6023 0.6023
```

**Electronic total energy**: -6.143 eV per atom
**Calculated density**: 9845 kg/m³
**Density of states at the Fermi level**: 2.82 states/eV/cell



Entry 9:
Here is a relaxed structure of Tb2PmCo2 from the Alexandria database. Energies are from PBE.

The structure in CIF format:
```
data_Tb2PmCo2
_chemical_formula_sum 'Tb2 Pm1 Co2'
_cell_length_a 6.0232
_cell_length_b 6.0232
_cell_length_c 5.5578
_cell_angle_alpha 103.51
_cell_angle_beta 103.51
_cell_angle_gamma 36.42
_space_group_name_H-M_alt 'P 1'
_space_group_IT_number 1
loop_
_space_group_symop_operation_xyz
'x,y,z'
loop_
_atom_site_label
_atom_site_fract_x
_atom_site_fract_y
_atom_site_fract_z
Tb1 0.1489 0.1489 0.0829
Tb2 0.8511 0.8511 0.9171
Pm1 0.5000 0.5000 0.5000
Co1 0.2210 0.2210 0.6040
Co2 0.7790 0.7790 0.3960
```

**Excess energy over the best structure of this formula in the dataset**: 0.37 eV per formula unit
**Electronic total energy**: -5.682 eV per atom
**Calculated density**: 8312 kg/m³
**Density of states at the Fermi level**: 4.91 states/eV/cell



Entry 10:
Here is a relaxed structure of Sm8CuSb2 from the Alexandria database. Energies are from PBE.

The structure in CIF format:
```
data_Sm8CuSb2
_chemical_formula_sum 'Sm8 Cu1 Sb2'
_cell_length_a 9.8527
_cell_length_b 9.8527
_cell_length_c 7.2532
_cell_angle_alpha 99.30
_cell_angle_beta 99.30
_cell_angle_gamma 28.40
_space_group_name_H-M_alt 'P 1'
_space_group_IT_number 1
loop_
_space_group_symop_operation_xyz
'x,y,z'
loop_
_atom_site_label
_atom_site_fract_x
_atom_site_fract_y
_atom_site_fract_z
Sm1 0.0088 0.0088 0.2788
Sm2 0.2154 0.2154 0.8435
Sm3 0.3481 0.3481 0.4726
Sm4 0.4060 0.4060 0.9976
Sm5 0.5940 0.5940 0.0024
Sm6 0.6519 0.6519 0.5274
Sm7 0.7846 0.7846 0.1565
Sm8 0.9912 0.9912 0.7212
Cu1 0.5000 0.5000 0.5000
Sb1 0.1816 0.1816 0.2692
Sb2 0.8184 0.8184 0.7308
```

**Electronic total energy**: -4.940 eV per atom
**Calculated density**: 7592 kg/m³
**Density of states at the Fermi level**: 11.79 states/eV/cell
**Raw formation energy**: -0.39 eV per atom



Entry 11:
Here is a relaxed structure of CeHfGe2O8 from the Alexandria database. Energies are from PBE.

The structure in CIF format:
```
data_CeHfGe2O8
_chemical_formula_sum 'Ce1 Hf1 Ge2 O8'
_cell_length_a 5.8545
_cell_length_b 5.8545
_cell_length_c 5.8545
_cell_angle_alpha 107.42
_cell_angle_beta 107.42
_cell_angle_gamma 113.66
_space_group_name_H-M_alt 'P 1'
_space_group_IT_number 1
loop_
_space_group_symop_operation_xyz
'x,y,z'
loop_
_atom_site_label
_atom_site_fract_x
_atom_site_fract_y
_atom_site_fract_z
Ce1 0.0000 0.0000 0.0000
Hf1 0.7500 0.2500 0.5000
Ge1 0.2500 0.7500 0.5000
Ge2 0.5000 0.5000 0.0000
O1 0.0532 0.3750 0.3218
O2 0.0532 0.7315 0.6782
O3 0.1250 0.3194 0.8056
O4 0.2685 0.9468 0.3218
O5 0.5138 0.3194 0.1944
O6 0.6250 0.9468 0.6782
O7 0.6806 0.4862 0.8056
O8 0.6806 0.8750 0.1944
```

**Electronic total energy**: -7.927 eV per atom
**Calculated density**: 6388 kg/m³
**Density of states at the Fermi level**: 0.00 states/eV/cell
**Raw formation energy**: -2.53 eV per atom



Entry 12:
Here is a relaxed structure of Sr2In5Pd2Rh from the Alexandria database. Energies are from PBE.

The structure in CIF format:
```
data_Sr2In5Pd2Rh
_chemical_formula_sum 'Sr4 In10 Pd4 Rh2'
_cell_length_a 10.9734
_cell_length_b 10.9734
_cell_length_c 3.8778
_cell_angle_alpha 90.00
_cell_angle_beta 90.00
_cell_angle_gamma 90.00
_space_group_name_H-M_alt 'P 1'
_space_group_IT_number 1
loop_
_space_group_symop_operation_xyz
'x,y,z'
loop_
_atom_site_label
_atom_site_fract_x
_atom_site_fract_y
_atom_site_fract_z
Sr1 0.1819 0.3181 0.0000
Sr2 0.3181 0.8181 0.0000
Sr3 0.6819 0.1819 0.0000
Sr4 0.8181 0.6819 0.0000
In1 0.0000 0.5000 0.5000
In2 0.0520 0.8091 0.5000
In3 0.1909 0.0520 0.5000
In4 0.3091 0.5520 0.5000
In5 0.4480 0.3091 0.5000
In6 0.5000 0.0000 0.5000
In7 0.5520 0.6909 0.5000
In8 0.6909 0.4480 0.5000
In9 0.8091 0.9480 0.5000
In10 0.9480 0.1909 0.5000
Pd1 0.1232 0.6232 0.0000
Pd2 0.3768 0.1232 0.0000
Pd3 0.6232 0.8768 0.0000
Pd4 0.8768 0.3768 0.0000
Rh1 0.0000 0.0000 0.0000
Rh2 0.5000 0.5000 0.0000
```

**Electronic total energy**: -3.883 eV per atom
**Calculated density**: 7575 kg/m³
**Density of states at the Fermi level**: 14.07 states/eV/cell